Record 1
A geometry-optimized LaBe2Cd structure. Source: Alexandria, functional PBE-GGA.

E_form	1.3	eV per formula unit
density of states at the Fermi level	2.4	states/eV per cell
M_tot	0.00	μB/f.u.

Cell: 3.230 3.271 6.998 Å, 90.00 90.00 90.00°
Sites, in units of the cell vectors:
1 Be 0.000 0.000 0.057
2 Be 0.000 0.000 0.443
3 Cd 0.500 0.500 0.250
4 La 0.500 0.500 0.750

=====

Record 2
A geometry-optimized Rb2RhO4 structure. Source: Alexandria, functional PBE-GGA.

density of states at the Fermi level	6.5	states/eV per cell
polymorph energy (0 for the lowest one)	38	meV/atom
M_tot	1.04	μB/f.u.
uncorrected formation energy	-6.480	eV/f.u.

Cell: 6.468 6.468 6.721 Å, 119.83 119.83 88.07°
Last column: magnetic moment on the atom in μB.
Sites, in units of the cell vectors:
1 Rb 0.256 0.744 0.500  0.00
2 Rb 0.756 0.244 0.500  0.00
3 Rh 0.999 0.001 0.000  0.42
4 O 0.724 0.952 0.000  0.12
5 O 0.048 0.276 0.000  0.12
6 O 0.266 0.049 0.315  0.12
7 O 0.951 0.734 0.685  0.12

=====

Record 3
A geometry-optimized Te5Rh3 structure. Source: Alexandria, functional PBE-GGA.

density of states at the Fermi level	9.6	states/eV per cell
polymorph energy (0 for the lowest one)	342	meV/atom
M_tot	0.00	μB/f.u.
uncorrected formation energy	0.657	eV/f.u.

Cell: 8.374 8.374 5.802 Å, 90.00 90.00 120.00°
Sites, in units of the cell vectors:
1 Te 0.333 0.667 0.000
2 Te 0.667 0.333 0.500
3 Te 0.667 0.333 0.000
4 Te 0.333 0.667 0.500
5 Te 0.272 0.000 0.250
6 Te 0.728 0.000 0.750
7 Te 0.000 0.272 0.250
8 Te 0.728 0.728 0.250
9 Te 0.272 0.272 0.750
10 Te 0.000 0.728 0.750
11 Rh 0.606 0.000 0.250
12 Rh 0.394 0.000 0.750
13 Rh 0.000 0.606 0.250
14 Rh 0.394 0.394 0.250
15 Rh 0.606 0.606 0.750
16 Rh 0.000 0.394 0.750

=====

Record 4
A geometry-optimized Sm3Nb5Co12 structure. Source: Alexandria, functional PBE-GGA.

E_form	14.8	eV per formula unit
density of states at the Fermi level	92.7	states/eV per cell
M_tot	0.00	μB/f.u.

Cell: 12.808 12.808 12.808 Å, 109.47 109.47 109.47°
Sites, in units of the cell vectors:
1 Sm 0.750 0.375 0.125
2 Sm 0.875 0.750 0.125
3 Sm 0.375 0.750 0.625
4 Sm 0.250 0.125 0.375
5 Sm 0.875 0.125 0.250
6 Sm 0.375 0.625 0.250
7 Sm 0.625 0.375 0.750
8 Sm 0.125 0.875 0.750
9 Sm 0.750 0.875 0.625
10 Sm 0.625 0.250 0.375
11 Sm 0.125 0.250 0.875
12 Sm 0.250 0.625 0.875
13 Nb 0.125 0.375 0.250
14 Nb 0.000 0.500 0.000
15 Nb 0.000 0.000 0.000
16 Nb 0.375 0.250 0.125
17 Nb 0.500 0.000 0.500
18 Nb 0.500 0.500 0.000
19 Nb 0.125 0.750 0.375
20 Nb 0.750 0.125 0.875
21 Nb 0.750 0.625 0.375
22 Nb 0.375 0.125 0.750
23 Nb 0.625 0.875 0.250
24 Nb 0.500 0.500 0.500
25 Nb 0.500 0.000 0.000
26 Nb 0.000 0.000 0.500
27 Nb 0.250 0.375 0.625
28 Nb 0.250 0.875 0.125
29 Nb 0.000 0.500 0.500
30 Nb 0.875 0.250 0.625
31 Nb 0.625 0.750 0.875
32 Nb 0.875 0.625 0.750
33 Co 0.678 0.031 0.981
34 Co 0.303 0.481 0.450
35 Co 0.019 0.469 0.322
36 Co 0.481 0.178 0.031
37 Co 0.647 0.678 0.697
38 Co 0.019 0.550 0.197
39 Co 0.303 0.822 0.353
40 Co 0.050 0.853 0.031
41 Co 0.550 0.019 0.697
42 Co 0.678 0.647 0.197
43 Co 0.822 0.519 0.469
44 Co 0.803 0.950 0.981
45 Co 0.031 0.678 0.481
46 Co 0.469 0.450 0.147
47 Co 0.147 0.950 0.469
48 Co 0.353 0.031 0.550
49 Co 0.147 0.197 0.178
50 Co 0.519 0.697 0.050
51 Co 0.803 0.853 0.322
52 Co 0.031 0.353 0.050
53 Co 0.469 0.019 0.822
54 Co 0.550 0.531 0.353
55 Co 0.950 0.803 0.481
56 Co 0.822 0.303 0.853
57 Co 0.450 0.469 0.647
58 Co 0.050 0.197 0.519
59 Co 0.178 0.697 0.147
60 Co 0.197 0.147 0.678
61 Co 0.531 0.981 0.178
62 Co 0.969 0.647 0.950
63 Co 0.481 0.303 0.950
64 Co 0.647 0.969 0.450
65 Co 0.853 0.803 0.822
66 Co 0.853 0.050 0.531
67 Co 0.969 0.322 0.519
68 Co 0.197 0.050 0.019
69 Co 0.531 0.550 0.853
70 Co 0.450 0.981 0.303
71 Co 0.322 0.353 0.803
72 Co 0.178 0.481 0.531
73 Co 0.950 0.147 0.969
74 Co 0.697 0.178 0.647
75 Co 0.519 0.822 0.969
76 Co 0.981 0.450 0.803
77 Co 0.353 0.322 0.303
78 Co 0.981 0.531 0.678
79 Co 0.697 0.519 0.550
80 Co 0.322 0.969 0.019

=====

Record 5
A geometry-optimized TaTeAs4 structure. Source: Alexandria, functional PBE-GGA.

density of states at the Fermi level	4.0	states/eV per cell
M_tot	0.00	μB/f.u.
uncorrected formation energy	4.033	eV/f.u.

Cell: 5.557 5.557 5.557 Å, 60.00 60.00 60.00°
Sites, in units of the cell vectors:
1 Ta 0.750 0.750 0.750
2 Te 0.000 0.000 0.000
3 As 0.871 0.376 0.376
4 As 0.376 0.376 0.871
5 As 0.376 0.871 0.376
6 As 0.376 0.376 0.376

=====

Record 6
A geometry-optimized K2GaIrAu structure. Source: Alexandria, functional PBE-GGA.

E_form	1.6	eV per formula unit
density of states at the Fermi level	3.3	states/eV per cell
M_tot	0.23	μB/f.u.

Cell: 6.168 4.716 6.168 Å, 90.00 90.00 90.00°
Last column: magnetic moment on the atom in μB.
Sites, in units of the cell vectors:
1 K 0.000 0.000 0.500  0.00
2 K 0.500 0.000 0.000  0.00
3 Ir 0.000 0.000 0.000  0.24
4 Au 0.500 0.500 0.500  0.00
5 Ga 0.000 0.500 0.000  -0.01